(1)
# CePr3Er2As6 | Alexandria via LeMat-Bulk | PBE | relaxed
# calculated total energy	-6.266	eV/atom
# spin magnetization	0.0375	μB/atom
data_CePr3Er2As6
_symmetry_space_group_name_H-M 'C 1 2/m 1'
_symmetry_Int_Tables_number 12
_cell_length_a 7.2970
_cell_length_b 12.6374
_cell_length_c 7.3123
_cell_angle_alpha 90.00
_cell_angle_beta 109.44
_cell_angle_gamma 90.00
loop_
_symmetry_equiv_pos_as_xyz
'x,y,z'
'-x,-y,-z'
'-x,y,-z'
'x,-y,z'
'x+1/2,y+1/2,z'
'-x+1/2,-y+1/2,-z'
'-x+1/2,y+1/2,-z'
'x+1/2,-y+1/2,z'
loop_
_atom_site_label
_atom_site_type_symbol
_atom_site_fract_x
_atom_site_fract_y
_atom_site_fract_z
Ce1 Ce 0.0000 0.0000 0.0000
Pr1 Pr 0.0000 0.1662 0.5000
Pr2 Pr 0.0000 0.5000 0.5000
Er1 Er 0.0000 0.3333 0.0000
As1 As 0.2439 0.5000 0.2366
As2 As 0.2468 0.1675 0.2378

---

(2)
# KZrSc2 | Alexandria via LeMat-Bulk | PBE | relaxed
# ΔE to the lowest computed polymorph	0.367	eV per atom
# spin magnetization	0.0002	μB/atom
data_KZrSc2
_symmetry_space_group_name_H-M 'C m m m'
_symmetry_Int_Tables_number 65
_symmetry_space_group_name_Hall '-C 2 2'
_cell_length_a 7.1839
_cell_length_b 9.5194
_cell_length_c 3.2184
_cell_angle_alpha 90.00
_cell_angle_beta 90.00
_cell_angle_gamma 90.00
loop_
_atom_site_label
_atom_site_type_symbol
_atom_site_fract_x
_atom_site_fract_y
_atom_site_fract_z
K1 K 0.0000 0.0000 0.0000
Zr1 Zr 0.0000 0.5000 0.0000
Sc1 Sc 0.2500 0.2500 0.5000

---

(3)
# MgScAl2 | Alexandria via LeMat-Bulk | PBE | relaxed
# calculated total energy	-3.949	eV/atom
# spin magnetization	0.0001	μB/atom
data_MgScAl2
_symmetry_space_group_name_H-M 'C 1 2/m 1'
_symmetry_Int_Tables_number 12
_cell_length_a 9.5048
_cell_length_b 3.1853
_cell_length_c 5.4100
_cell_angle_alpha 90.00
_cell_angle_beta 101.26
_cell_angle_gamma 90.00
loop_
_symmetry_equiv_pos_as_xyz
'x,y,z'
'-x,-y,-z'
'-x,y,-z'
'x,-y,z'
'x+1/2,y+1/2,z'
'-x+1/2,-y+1/2,-z'
'-x+1/2,y+1/2,-z'
'x+1/2,-y+1/2,z'
loop_
_atom_site_label
_atom_site_type_symbol
_atom_site_fract_x
_atom_site_fract_y
_atom_site_fract_z
Mg1 Mg 0.0000 0.0000 0.0000
Sc1 Sc 0.0000 0.5000 0.5000
Al1 Al 0.2480 0.5000 0.2440

---

(4)
# NdSm3Pb3 | Alexandria via LeMat-Bulk | PBE | relaxed
# calculated total energy	-4.673	eV/atom
# spin magnetization	0.0000	μB/atom
data_NdSm3Pb3
_symmetry_space_group_name_H-M 'P 63/m'
_symmetry_Int_Tables_number 176
_symmetry_space_group_name_Hall '-P 6c'
_cell_length_a 9.4960
_cell_length_b 9.4960
_cell_length_c 5.5881
_cell_angle_alpha 90.00
_cell_angle_beta 90.00
_cell_angle_gamma 120.00
loop_
_atom_site_label
_atom_site_type_symbol
_atom_site_fract_x
_atom_site_fract_y
_atom_site_fract_z
Nd1 Nd 0.3333 0.6667 0.2500
Sm1 Sm 0.0045 0.2397 0.2500
Pb1 Pb 0.0771 0.4531 0.7500

---

> What is the spin magnetization in the second record?

0.0002 μB/atom